Computed, not measured: an optimized crystal structure of ScIrO4 at the PBE level of DFT.

a b c (Å): 7.466 5.180 7.261
angles (deg): 90.00 100.59 90.00
Space group P2_1/c (No. 14)
Asymmetric unit:
1 Sc 0.158 0.241 0.355
2 Ir 0.335 0.743 0.197
3 O 0.094 0.567 0.191
4 O 0.204 0.059 0.103
5 O 0.324 0.601 0.943
6 O 0.431 0.091 0.808

Computed, not measured: an optimized crystal structure of ScIr2O6 at the PBE level of DFT.

a b c (Å): 5.0806 5.0806 4.6822
angles (deg): 90.00 90.00 120.00
Space group P-31m (No. 162)
Asymmetric unit:
1 Sc 0.0000 0.0000 0.0000
2 Ir 0.3333 0.6667 0.5000
3 O 0.0000 0.3435 0.7376

Computed, not measured: an optimized crystal structure of Sc2IrO at the PBE level of DFT.

a b c (Å): 6.059 6.059 7.412
angles (deg): 90.00 90.00 90.00
Space group I-42d (No. 122)
Asymmetric unit:
1 Sc 0.177 0.250 0.125
2 Ir 0.000 0.000 0.500
3 O 0.000 0.000 0.000

Computed, not measured: an optimized crystal structure of Sc2IrO2 at the PBE level of DFT.

a b c (Å): 6.578 6.578 2.935
angles (deg): 90.00 90.00 90.00
Space group P4/mbm (No. 127)
Asymmetric unit:
1 Sc 0.184 0.316 0.000
2 Ir 0.000 0.000 0.500
3 O 0.141 0.641 0.500

Computed, not measured: an optimized crystal structure of Sc2IrO6 at the PBE level of DFT.

a b c (Å): 4.777 4.777 9.472
angles (deg): 90.00 90.00 90.00
Space group P4_2/mnm (No. 136)
Asymmetric unit:
1 Sc 0.000 0.000 0.170
2 Ir 0.000 0.000 0.500
3 O 0.194 0.194 0.345
4 O 0.215 0.215 0.000

Computed, not measured: an optimized crystal structure of Sc2IrO at the PBE level of DFT.

a b c (Å): 3.8989 3.8989 19.9939
angles (deg): 90.00 90.00 120.00
Space group R-3m (No. 166, hexagonal axes)
Asymmetric unit:
1 Sc 0.0000 0.0000 0.0946
2 Ir 0.0000 0.0000 0.5000
3 O 0.0000 0.0000 0.0000

Which raw formation energy belongs to each record? In order, -178.1 -136.2 -158.9 -164.2 -209.6 -136.9 kJ per mole of atoms.